Compound: Re3Os4
Source: Alexandria via LeMat-Bulk
Functional: PBE
Structure: relaxed

Results
spin magnetization = 0.00 Bohr magnetons per cell
calculated formation energy = 420 meV per atom
ΔE to the lowest computed polymorph = 233 kJ/mol of formula units
theoretical density = 20.2 g/cm³
space-group type = No. 160
raw total energy = -79.32 eV for the cell shown

a = 7.165 Å, b = 7.165 Å, c = 7.165 Å
α = 35.11°, β = 35.11°, γ = 35.11°
Atoms (fractional coordinates):
Re (0.000, 0.000, 0.000)
Re (0.134, 0.134, 0.134)
Re (0.467, 0.467, 0.467)
Os (0.334, 0.334, 0.334)
Os (0.601, 0.601, 0.601)
Os (0.733, 0.733, 0.733)
Os (0.866, 0.866, 0.866)



Compound: Ba6PRh2Cl3
Source: Alexandria via LeMat-Bulk
Functional: PBE
Structure: relaxed

Results
spin magnetization = 0.00 Bohr magnetons per cell
energy relative to the elements, uncorrected = -1.2530 eV per atom
theoretical density = 4.6 g/cm³
space-group type = No. 12
raw total energy = -52.23 eV for the cell shown

a = 7.916 Å, b = 7.916 Å, c = 8.188 Å
α = 99.29°, β = 99.29°, γ = 119.98°
Atoms (fractional coordinates):
Ba (0.090, 0.428, 0.783)
Ba (0.235, 0.235, 0.218)
Ba (0.428, 0.090, 0.783)
Ba (0.572, 0.910, 0.217)
Ba (0.765, 0.765, 0.782)
Ba (0.910, 0.572, 0.217)
P (0.500, 0.500, 0.000)
Rh (0.167, 0.833, 0.000)
Rh (0.833, 0.167, 0.000)
Cl (0.000, 0.000, 0.500)
Cl (0.334, 0.666, 0.500)
Cl (0.666, 0.334, 0.500)



Compound: Ba2Sb2Pd15
Source: Alexandria via LeMat-Bulk
Functional: PBE
Structure: relaxed

Results
spin magnetization = 0.00 Bohr magnetons per cell
energy relative to the elements, uncorrected = -0.2781 eV per atom
theoretical density = 9.7 g/cm³
space-group type = No. 166
raw total energy = -95.27 eV for the cell shown

a = 7.175 Å, b = 7.175 Å, c = 7.175 Å
α = 82.56°, β = 82.56°, γ = 82.56°
Atoms (fractional coordinates):
Ba (0.147, 0.147, 0.147)
Ba (0.853, 0.853, 0.853)
Sb (0.395, 0.395, 0.395)
Sb (0.605, 0.605, 0.605)
Pd (0.000, 0.500, 0.500)
Pd (0.157, 0.157, 0.652)
Pd (0.157, 0.652, 0.157)
Pd (0.201, 0.500, 0.799)
Pd (0.201, 0.799, 0.500)
Pd (0.348, 0.843, 0.843)
Pd (0.500, 0.000, 0.500)
Pd (0.500, 0.201, 0.799)
Pd (0.500, 0.500, 0.000)
Pd (0.500, 0.799, 0.201)
Pd (0.652, 0.157, 0.157)
Pd (0.799, 0.201, 0.500)
Pd (0.799, 0.500, 0.201)
Pd (0.843, 0.348, 0.843)
Pd (0.843, 0.843, 0.348)



Compound: Ca2YAu
Source: Alexandria via LeMat-Bulk
Functional: PBE
Structure: relaxed

Results
spin magnetization = 0.00 Bohr magnetons per cell
calculated formation energy = -173 meV per atom
ΔE to the lowest computed polymorph = 90 kJ/mol of formula units
theoretical density = 5.5 g/cm³
space-group type = No. 216
raw total energy = -14.44 eV for the cell shown

a = 5.390 Å, b = 5.390 Å, c = 5.390 Å
α = 60.00°, β = 60.00°, γ = 60.00°
Atoms (fractional coordinates):
Ca (0.000, 0.000, 0.000)
Ca (0.250, 0.250, 0.250)
Y (0.750, 0.750, 0.750)
Au (0.500, 0.500, 0.500)



Which of these has the lowest theoretical density?
Ba6PRh2Cl3